The following is a DFT calculation (PBE) of a relaxed BaOs2Au crystal.

Cell lengths 4.800, 4.305, 5.203 Å; angles 80.86, 90.00, 90.00 degrees
Positions (direct):
Os  0.000  0.012  0.149
Os  0.000  0.488  0.351
Ba  0.500  0.750  0.750
Au  0.500  0.250  0.250

Properties
E above lowest polymorph   434 meV/atom
Energy of formation   0.6376 eV/atom
Space group   P2/m